No. 1
First-principles (GGA-PBEsol) data for a geometry-optimized Te2RhIO structure, as listed in Alexandria.

```
Te2RhIO
1.0
-2.396 1.282 4.248
-1.344 -4.810 0.694
4.568 -0.867 2.839
Te I Rh O
2 1 1 1
Cartesian
-0.672 -2.405 0.347
-1.198 0.641 2.124
2.284 -0.434 1.420
0.000 0.000 0.000
0.414 -2.198 3.890
```

Summary:
Uncorrected energy: -3.659 eV/atom

=====

No. 2
First-principles (GGA-PBEsol) data for a geometry-optimized TlRhIO2 structure, as listed in Alexandria.

```
TlRhIO2
1.0
-0.464 3.979 -0.383
-0.665 0.304 3.957
6.487 0.855 1.024
Rh I O Tl
1 1 2 1
Cartesian
2.679 2.568 2.299
3.244 0.427 0.512
-0.332 0.152 1.978
-0.232 1.989 -0.192
0.000 0.000 0.000
```

Summary:
Uncorrected energy: -3.999 eV/atom

=====

No. 3
First-principles (GGA-PBEsol) data for a geometry-optimized RhWIO2 structure, as listed in Alexandria.

```
RhWIO2
1.0
-2.340 2.240 -1.946
-2.807 -0.867 2.377
1.497 4.536 3.422
W O Rh I
1 2 1 1
Cartesian
0.000 0.000 0.000
-1.403 -0.433 1.188
-1.170 1.120 -0.973
-1.825 2.954 1.926
0.748 2.268 1.711
```

Summary:
Uncorrected energy: -7.425 eV/atom

=====

No. 4
First-principles (GGA-PBEsol) data for a geometry-optimized SnRuIO2 structure, as listed in Alexandria.

```
SnRuIO2
1.0
-2.837 -2.685 1.176
2.874 -2.869 0.386
0.741 1.419 5.028
I O Sn Ru
1 2 1 1
Cartesian
0.370 0.709 2.514
1.437 -1.434 0.193
-1.419 -1.342 0.588
0.389 -2.067 3.295
0.000 0.000 0.000
```

Summary:
Uncorrected energy: -5.371 eV/atom

=====

No. 5
First-principles (GGA-PBEsol) data for a geometry-optimized TeRuI2O structure, as listed in Alexandria.

```
TeRuI2O
1.0
-1.489 -3.662 -0.062
1.761 -0.810 5.550
-5.154 2.062 1.936
Ru O I Te
1 1 2 1
Cartesian
-2.441 -1.205 3.712
-0.744 -1.831 -0.031
-2.577 1.031 0.968
0.880 -0.405 2.775
0.000 0.000 0.000
```

Summary:
Uncorrected energy: -3.690 eV/atom

=====

No. 6
First-principles (GGA-PBEsol) data for a geometry-optimized TiRuIO2 structure, as listed in Alexandria.

```
TiRuIO2
1.0
3.820 0.000 0.000
0.000 3.820 0.000
0.000 0.000 5.764
I Ti Ru O
1 1 1 2
Cartesian
0.000 0.000 2.882
1.910 1.910 2.882
0.000 0.000 0.000
1.910 0.000 0.000
0.000 1.910 0.000
```

Summary:
Uncorrected energy: -6.300 eV/atom

=====

No. 7
First-principles (GGA-PBEsol) data for a geometry-optimized S2IO structure, as listed in Alexandria.

```
S2IO
1.0
-2.366 0.171 4.475
4.456 -0.415 2.372
-0.501 6.263 -3.371
O S I
2 4 2
Cartesian
-0.911 3.156 2.264
1.045 -0.122 3.424
0.999 4.563 -1.079
2.295 1.310 4.030
-0.184 4.649 1.158
0.067 1.517 2.844
0.000 0.000 0.000
2.500 2.863 1.212
```

Summary:
Uncorrected energy: -3.449 eV/atom

=====

No. 8
First-principles (GGA-PBEsol) data for a geometry-optimized S2I2O11 structure, as listed in Alexandria.

```
S2I2O11
1.0
-2.758 1.652 -3.169
-7.622 -6.555 3.215
-5.919 12.642 11.743
O I S
44 8 8
Cartesian
-4.301 3.392 3.916
-7.342 0.425 4.701
-14.436 7.478 11.679
-5.421 7.114 6.253
-9.569 -3.591 1.679
-11.821 5.993 12.381
-6.459 -3.999 2.336
-6.868 9.111 6.207
-6.449 5.278 3.949
-5.180 -0.877 2.939
-7.271 9.719 9.776
-9.237 9.173 11.168
-7.910 6.939 6.255
-11.461 3.379 10.576
-9.442 0.157 3.476
-8.886 -2.711 4.263
-12.569 2.754 7.505
-9.758 11.808 9.419
-9.149 4.893 6.067
-9.768 2.531 7.806
-11.510 1.177 5.769
-9.555 8.608 8.429
-8.383 -1.425 1.741
-12.401 6.478 9.348
-8.565 5.698 8.322
-3.701 1.431 2.358
-4.167 2.945 0.037
-11.406 -1.117 5.016
-6.842 4.795 6.887
-14.790 5.458 10.399
-10.042 6.591 10.870
-6.980 2.518 2.116
-3.916 -1.505 0.976
-1.976 0.502 0.939
-9.091 2.162 4.782
-12.536 8.774 10.096
-6.512 -1.235 -0.176
-9.355 -0.031 5.941
-11.353 4.901 7.601
-3.539 5.952 4.199
-5.444 0.914 -0.184
-6.176 12.079 10.441
-6.238 2.829 5.342
-6.660 7.751 8.230
-10.888 3.214 6.619
-9.814 -2.041 2.915
-8.400 8.132 9.683
-8.178 -2.957 0.462
-5.363 4.566 5.150
-5.217 1.677 4.068
-8.073 10.738 11.307
-12.997 4.414 8.529
-8.745 0.774 4.629
-12.937 7.834 9.084
-6.583 7.799 6.751
-2.391 0.740 2.296
-10.993 -0.187 6.031
-4.012 -1.561 2.455
-8.160 5.472 6.961
-15.141 6.846 10.538
```

Summary:
Energy relative to the lowest polymorph listed for this composition: 0.0 kJ per mole of atoms

=====

No. 9
First-principles (GGA-PBEsol) data for a geometry-optimized S2I2O11 structure, as listed in Alexandria.

```
S2I2O11
1.0
8.948 0.019 0.000
-0.692 9.150 0.000
0.000 0.000 10.439
I O S
8 44 8
Cartesian
7.088 8.382 7.595
0.945 3.561 1.551
1.167 0.787 2.844
2.614 8.372 8.063
5.419 3.570 3.668
7.311 5.609 8.888
5.641 0.797 2.375
2.837 5.599 6.770
7.388 1.722 6.338
7.319 3.016 10.225
5.033 5.338 2.238
0.964 1.600 1.092
6.895 8.139 5.087
5.942 2.291 8.285
2.845 3.007 5.433
4.794 8.165 3.809
7.410 0.770 2.345
1.468 2.281 7.374
7.292 7.569 9.347
0.846 8.400 8.093
0.320 8.155 1.410
5.619 3.436 6.207
2.666 3.884 1.493
2.914 1.712 9.320
2.314 6.879 2.154
1.115 5.276 6.712
2.818 7.559 6.311
5.353 2.726 1.914
2.936 0.760 2.874
7.935 1.014 9.028
7.376 6.454 7.133
0.936 6.153 0.213
5.341 7.457 1.119
7.140 3.893 3.727
1.360 1.030 5.352
5.589 5.286 8.946
0.867 7.447 4.100
2.636 5.734 4.232
5.410 6.163 5.006
3.222 3.832 8.201
0.879 2.716 3.306
2.421 8.129 0.132
5.834 1.040 10.306
2.902 6.444 8.525
7.696 3.841 7.458
6.787 6.888 3.065
7.110 5.744 0.988
5.320 8.409 7.565
3.462 1.004 6.630
0.559 5.328 2.981
5.438 1.610 4.128
1.145 3.426 9.451
6.727 2.847 6.940
5.908 7.354 4.367
6.002 6.332 1.721
6.822 1.825 9.586
1.434 7.344 0.853
1.528 6.323 3.499
2.348 1.815 6.072
2.253 2.837 8.718
```

Summary:
Energy relative to the lowest polymorph listed for this composition: 0.4 kJ per mole of atoms

=====

No. 10
First-principles (GGA-PBEsol) data for a geometry-optimized SI2O2 structure, as listed in Alexandria.

```
SI2O2
1.0
-1.299 -4.904 0.364
3.998 1.780 2.714
-0.405 0.482 5.047
S O I
1 2 2
Cartesian
0.000 0.000 0.000
2.531 -0.273 5.355
-0.237 -2.369 2.770
0.721 -2.427 5.415
1.573 -0.216 2.709
```

Summary:
Uncorrected energy: -3.162 eV/atom

=====

No. 11
First-principles (GGA-PBEsol) data for a geometry-optimized SI2O6 structure, as listed in Alexandria.

```
SI2O6
1.0
-1.029 0.528 4.542
-0.049 -7.243 3.249
7.793 -1.077 4.309
O S I
12 2 4
Cartesian
0.862 -2.112 2.704
5.758 -2.803 8.890
4.669 -6.238 6.773
4.877 -1.904 3.750
2.328 -4.566 5.215
0.755 -6.457 5.079
0.958 -4.989 3.209
1.839 -5.888 8.350
5.960 -1.335 7.021
4.387 -3.226 6.885
2.047 -1.554 5.326
5.854 -5.680 9.395
4.991 -2.186 7.762
1.725 -5.606 4.338
1.038 -2.909 6.361
5.315 -7.276 8.353
5.678 -4.883 5.739
1.401 -0.516 3.747
```

Summary:
Uncorrected energy: -5.094 eV/atom

=====

No. 12
First-principles (GGA-PBEsol) data for a geometry-optimized SbSIO2 structure, as listed in Alexandria.

```
SbSIO2
1.0
-1.671 -3.440 -0.892
-0.650 -0.674 3.814
-5.723 2.900 -0.462
I O S Sb
1 2 1 1
Cartesian
-2.861 1.450 -0.231
-0.836 -1.720 -0.446
-0.325 -0.337 1.907
-4.022 -0.607 1.230
0.000 0.000 0.000
```

Summary:
Uncorrected energy: -4.530 eV/atom